Entry 1:
Crystalline TmReB4 at its relaxed geometry. Source: the Open Quantum Materials Database, functional PBE.

Computed properties:
Its symmetry is Immm (71). The value obtained for the offset from the most stable computed form is 0.0 meV per atom.

Cell lengths 4.6575, 4.6575, 4.6575 Å; angles 140.72, 110.01, 83.32 degrees
Fractional coordinates of all 6 atoms:
Tm  0.0000  0.0000  0.0000
Re  0.5000  0.5000  0.0000
B  0.0857  0.7498  0.3360
B  0.4138  0.7498  0.6640
B  0.5862  0.2502  0.3360
B  0.9143  0.2502  0.6640

***

Entry 2:
Crystalline SmY2Co2B2N3 at its relaxed geometry. Source: the Open Quantum Materials Database, functional PBE.

Computed properties:
Its symmetry is I4/mmm (139). The energy comes out at -8.1806 eV per atom.

Cell lengths 10.3361, 10.3361, 10.3361 Å; angles 160.47, 160.47, 27.75 degrees
Fractional coordinates of all 10 atoms:
Sm  0.0000  0.0000  0.0000
Y  0.3746  0.3746  0.0000
Y  0.6254  0.6254  0.0000
Co  0.2500  0.7500  0.5000
Co  0.7500  0.2500  0.5000
B  0.1949  0.1949  0.0000
B  0.8051  0.8051  0.0000
N  0.1201  0.1201  0.0000
N  0.5000  0.5000  0.0000
N  0.8799  0.8799  0.0000

***

Entry 3:
Crystalline DyInPO at its relaxed geometry. Source: the Open Quantum Materials Database, functional PBE.

Computed properties:
Its symmetry is P4/nmm (129). The value obtained for the offset from the most stable computed form is 717.3 meV per atom.

Cell lengths 4.4508, 4.4508, 7.9677 Å; angles 90.00, 90.00, 90.00 degrees
Fractional coordinates of all 8 atoms:
Dy  0.2500  0.7500  0.0000
Dy  0.7500  0.2500  0.0000
In  0.2500  0.2500  0.4057
In  0.7500  0.7500  0.5943
P  0.2500  0.2500  0.8066
P  0.7500  0.7500  0.1934
O  0.2500  0.7500  0.5000
O  0.7500  0.2500  0.5000